Entry 1:
Here is Sm3Zn2Rh3 after structural relaxation from Alexandria. Energies are from GGA-PBE.

Values from the calculation:
The energy of formation from the pure elements is -0.647 eV per atom. The calculation puts the theoretical density at 8.849 g/cm³. The total energy comes out at -5.4917 eV per atom. The value obtained for the distance to the lowest polymorph of the same formula is 0.00 kcal/mol of atoms.

Unit cell a=6.1949 b=6.1949 c=13.9974 alpha=90.00 beta=90.00 gamma=141.52
Atoms (fractional coordinates):
Sm  0.0725  0.9275  0.6114
Sm  0.0725  0.9275  0.8886
Sm  0.3439  0.6561  0.7500
Sm  0.6561  0.3439  0.2500
Sm  0.9275  0.0725  0.1114
Sm  0.9275  0.0725  0.3886
Zn  0.2269  0.7731  0.0806
Zn  0.2269  0.7731  0.4194
Zn  0.7731  0.2269  0.5806
Zn  0.7731  0.2269  0.9194
Rh  0.3407  0.6593  0.2500
Rh  0.3978  0.6022  0.5469
Rh  0.3978  0.6022  0.9531
Rh  0.6022  0.3978  0.0469
Rh  0.6022  0.3978  0.4531
Rh  0.6593  0.3407  0.7500


Entry 2:
Here is BaPaCuO4 after structural relaxation from Alexandria. Energies are from GGA-PBE.

Values from the calculation:
The calculation puts the theoretical density at 6.478 g/cm³. The formation energy from raw total energies comes out at -1693 kJ/mol of formula units. The total energy comes out at -7.5558 eV per atom.

Unit cell a=7.1438 b=7.1438 c=7.1438 alpha=121.58 beta=120.17 gamma=88.49
Atoms (fractional coordinates):
Ba  0.4153  0.1653  0.2500
Ba  0.5847  0.8347  0.7500
Pa  0.0000  0.5000  0.5000
Pa  0.5000  0.5000  0.0000
Cu  0.0000  0.0000  0.5000
Cu  0.0000  0.5000  0.0000
O  0.1449  0.7030  0.4419
O  0.2389  0.2970  0.9419
O  0.2846  0.3435  0.5589
O  0.2846  0.7257  0.9411
O  0.7154  0.2743  0.0589
O  0.7154  0.6565  0.4411
O  0.7611  0.7030  0.0581
O  0.8551  0.2970  0.5581


Entry 3:
Here is Zn3TcS after structural relaxation from Alexandria. Energies are from GGA-PBE.

Values from the calculation:
The calculation puts the theoretical density at 5.749 g/cm³. The formation energy from raw total energies comes out at 485 kJ/mol of formula units. The total energy comes out at -2.6577 eV per atom. The value obtained for the distance to the lowest polymorph of the same formula is 0.00 kcal/mol of atoms.

Unit cell a=4.5508 b=4.5508 c=4.5508 alpha=90.00 beta=90.00 gamma=90.00
Atoms (fractional coordinates):
Zn  0.0000  0.0000  0.5000
Zn  0.0000  0.5000  0.0000
Zn  0.5000  0.0000  0.0000
Tc  0.5000  0.5000  0.5000
S  0.0000  0.0000  0.0000


Entry 4:
Here is ZnCr2Cl after structural relaxation from Alexandria. Energies are from GGA-PBE.

Values from the calculation:
The calculation puts the theoretical density at 5.228 g/cm³. The formation energy from raw total energies comes out at 134 kJ/mol of formula units. The total energy comes out at -5.2437 eV per atom. The value obtained for the distance to the lowest polymorph of the same formula is 5.43 kcal/mol of atoms.

Unit cell a=3.0681 b=4.3186 c=5.1314 alpha=90.00 beta=106.86 gamma=90.00
Atoms (fractional coordinates):
Zn  0.0000  0.0000  0.0000
Cr  0.3577  0.5000  0.7065
Cr  0.7383  0.0000  0.4837
Cl  0.6208  0.5000  0.2726


Q: Look up the theoretical density of the first one.
A: 8.849 g/cm³